Material: GaBTeI2
Method: DFT, GGA-PBE
State: relaxed

Lattice parameters (Å, degrees): 5.6521 5.6521 5.4623 90.00 90.00 90.00
Fractional coordinates of all 5 atoms:
I 0.0000 0.5000 0.0000
I 0.5000 0.0000 0.0000
B 0.5000 0.5000 0.5000
Te 0.0000 0.0000 0.5000
Ga 0.0000 0.0000 0.0000

VASP energy: -2.140 eV per atom